1.
DFT (PBE-GGA) results for CoPS2N after structural relaxation.

```
CoPS2N
1.0
4.455 0.000 0.093
0.000 3.099 0.000
-0.381 0.000 5.514
S Co P N
2 1 1 1
direct
0.204 0.000 0.125 S
0.612 0.500 0.712 S
0.671 0.000 0.001 Co
0.894 0.500 0.261 P
0.913 0.500 0.555 N
```

Summary:
Excess energy over the best structure of this formula in the dataset, meV per atom: 168
Formation energy from raw total energies, eV/atom: 0.12
Raw total energy, Ry/atom: -0.4192

2.
DFT (PBE-GGA) results for TlPtBr2 after structural relaxation.

```
TlPtBr2
1.0
3.705 0.000 0.000
0.000 6.559 0.000
0.000 0.000 4.389
Tl Pt Br
1 1 2
direct
0.000 0.500 0.500 Tl
0.500 0.000 0.500 Pt
0.500 0.500 0.000 Br
0.000 0.000 0.000 Br
```

Summary:
Excess energy over the best structure of this formula in the dataset, meV per atom: 413
Formation energy from raw total energies, eV/atom: 0.21
Raw total energy, Ry/atom: -0.2004

3.
DFT (PBE-GGA) results for CuNi4Sn after structural relaxation.

```
CuNi4Sn
1.0
4.776 0.000 0.000
2.388 4.136 0.000
2.388 1.379 3.900
Ni Cu Sn
4 1 1
direct
0.625 0.625 0.625 Ni
0.625 0.124 0.625 Ni
0.625 0.625 0.124 Ni
0.124 0.625 0.625 Ni
0.000 0.000 0.000 Cu
0.250 0.250 0.250 Sn
```

Summary:
Excess energy over the best structure of this formula in the dataset, meV per atom: 88
Energy relative to the elements, kJ/mol of atoms: 2.1
Raw total energy, Ry/atom: -0.3809

4.
DFT (PBE-GGA) results for Si2RhSe after structural relaxation.

```
Si2RhSe
1.0
2.954 0.000 0.000
0.000 4.437 0.000
0.000 0.000 4.767
Rh Si Se
1 2 1
direct
0.500 0.000 0.500 Rh
0.500 0.500 0.000 Si
0.000 0.000 0.000 Si
0.000 0.500 0.500 Se
```

Summary:
Formation energy from raw total energies, eV/atom: 0.26
Raw total energy, Ry/atom: -0.3789

5.
DFT (PBE-GGA) results for Dy3Y2Mg3 after structural relaxation.

```
Dy3Y2Mg3
1.0
3.760 0.000 0.000
0.000 5.436 0.000
-1.880 -2.718 11.187
Y Mg Dy
2 3 3
direct
0.734 0.234 0.469 Y
0.266 0.766 0.531 Y
0.884 0.884 0.767 Mg
0.116 0.116 0.233 Mg
0.000 0.500 0.000 Mg
0.375 0.375 0.751 Dy
0.625 0.625 0.249 Dy
0.500 0.000 0.000 Dy
```

Summary:
Energy relative to the elements, kJ/mol of atoms: -5.5
Raw total energy, Ry/atom: -0.2938

6.
DFT (PBE-GGA) results for ErThCo2 after structural relaxation.

```
ErThCo2
1.0
-3.580 0.311 1.126
1.105 -0.727 3.714
2.492 5.038 0.245
Co Er Th
2 1 1
direct
0.160 0.500 0.858 Co
0.003 0.000 0.545 Co
0.723 0.000 0.985 Er
0.446 0.500 0.430 Th
```

Summary:
Excess energy over the best structure of this formula in the dataset, meV per atom: 0
Energy relative to the elements, kJ/mol of atoms: -27.2
Raw total energy, Ry/atom: -0.5020

7.
DFT (PBE-GGA) results for Na2SI after structural relaxation.

```
Na2SI
1.0
8.192 0.000 0.000
0.000 8.192 0.000
4.096 4.096 3.244
Na I S
4 2 2
direct
0.182 0.625 0.250 Na
0.375 0.432 0.750 Na
0.875 0.818 0.750 Na
0.568 0.125 0.250 Na
0.000 0.000 0.000 I
0.750 0.250 0.500 I
0.500 0.500 0.000 S
0.250 0.750 0.500 S
```

Summary:
Excess energy over the best structure of this formula in the dataset, meV per atom: 0
Formation energy from raw total energies, eV/atom: -0.77
Raw total energy, Ry/atom: -0.2092

8.
DFT (PBE-GGA) results for Mg2F after structural relaxation.

```
Mg2F
1.0
-0.788 5.097 3.069
-2.338 -1.370 1.674
8.123 -7.971 4.823
F Mg
4 8
direct
0.664 0.000 0.822 F
0.664 0.500 0.322 F
0.336 0.000 0.178 F
0.336 0.500 0.678 F
0.476 0.500 0.118 Mg
0.949 0.000 0.125 Mg
0.476 0.000 0.618 Mg
0.524 0.000 0.382 Mg
0.524 0.500 0.882 Mg
0.051 0.500 0.375 Mg
0.949 0.500 0.625 Mg
0.051 0.000 0.875 Mg
```

Summary:
Excess energy over the best structure of this formula in the dataset, meV per atom: 73
Formation energy from raw total energies, eV/atom: -1.49
Raw total energy, Ry/atom: -0.2336

9.
DFT (PBE-GGA) results for NaCuHg2Pb after structural relaxation.

```
NaCuHg2Pb
1.0
-1.027 2.548 4.387
-3.551 -3.558 1.235
3.644 -2.780 2.468
Na Hg Pb Cu
1 2 1 1
direct
0.500 0.500 0.500 Na
0.000 0.500 0.000 Hg
0.500 0.000 0.000 Hg
0.000 0.000 0.500 Pb
0.000 0.000 0.000 Cu
```

Summary:
Energy relative to the elements, kJ/mol of atoms: 5.9
Raw total energy, Ry/atom: -0.1385

The highest raw total energy belongs to which entry?
NaCuHg2Pb

Look up the raw total energy of the fifth one.
-0.2938 Ry/atom

Which value of raw total energy does entry 3 give?
-0.3809 Ry/atom

Which value of raw total energy does entry 7 give?
-0.2092 Ry/atom